# 1
# CePu2Sn PBE optimized geometry
# Energy of formation from the pure elements: -72 kJ/mol of formula units
# VASP energy: -9.8372 eV/atom
data_CePu2Sn
_symmetry_space_group_name_H-M 'P 4/m m m'
_symmetry_Int_Tables_number 123
_symmetry_space_group_name_Hall '-P 4 2'
_cell_length_a 4.0716
_cell_length_b 4.0716
_cell_length_c 6.5061
_cell_angle_alpha 90.00
_cell_angle_beta 90.00
_cell_angle_gamma 90.00
loop_
_atom_site_label
_atom_site_type_symbol
_atom_site_fract_x
_atom_site_fract_y
_atom_site_fract_z
_atom_site_occupancy
Ce1 Ce 0.0000 0.0000 0.0000 1
Pu1 Pu 0.5000 0.5000 0.2652 1
Sn1 Sn 0.0000 0.0000 0.5000 1

=====

# 2
# NdMg2BiO6 PBE optimized geometry
# Formation energy without anion corrections: -2.22 eV per atom
# VASP energy: -6.3761 eV/atom
data_NdMg2BiO6
_symmetry_space_group_name_H-M 'R 3'
_symmetry_Int_Tables_number 146
_symmetry_space_group_name_Hall 'R 3'
_cell_length_a 5.5356
_cell_length_b 5.5356
_cell_length_c 14.6548
_cell_angle_alpha 90.00
_cell_angle_beta 90.00
_cell_angle_gamma 120.00
loop_
_atom_site_label
_atom_site_type_symbol
_atom_site_fract_x
_atom_site_fract_y
_atom_site_fract_z
_atom_site_occupancy
Nd1 Nd 0.0000 0.0000 0.0000 1
Mg1 Mg 0.0000 0.0000 0.2726 1
Mg2 Mg 0.0000 0.0000 0.7777 1
Bi1 Bi 0.0000 0.0000 0.4800 1
O1 O 0.0135 0.3158 0.8729 1
O2 O 0.0244 0.6133 0.0442 1

=====

# 3
# BeSN2O PBE optimized geometry
# Formation energy without anion corrections: 1.25 eV per atom
# VASP energy: -4.6424 eV/atom
data_BeSN2O
_symmetry_space_group_name_H-M 'P 4/m m m'
_symmetry_Int_Tables_number 123
_symmetry_space_group_name_Hall '-P 4 2'
_cell_length_a 3.3132
_cell_length_b 3.3132
_cell_length_c 3.9548
_cell_angle_alpha 90.00
_cell_angle_beta 90.00
_cell_angle_gamma 90.00
loop_
_atom_site_label
_atom_site_type_symbol
_atom_site_fract_x
_atom_site_fract_y
_atom_site_fract_z
_atom_site_occupancy
Be1 Be 0.0000 0.0000 0.0000 1
S1 S 0.5000 0.5000 0.5000 1
N1 N 0.0000 0.5000 0.5000 1
O1 O 0.5000 0.5000 0.0000 1

=====

# 4
# Ca12Mg6Tl PBE optimized geometry
# Energy of formation from the pure elements: -77 kJ/mol of formula units
# VASP energy: -1.9341 eV/atom
data_Ca12Mg6Tl
_symmetry_space_group_name_H-M 'R -3'
_symmetry_Int_Tables_number 148
_symmetry_space_group_name_Hall '-R 3'
_cell_length_a 12.0322
_cell_length_b 12.0322
_cell_length_c 15.5099
_cell_angle_alpha 90.00
_cell_angle_beta 90.00
_cell_angle_gamma 120.00
loop_
_atom_site_label
_atom_site_type_symbol
_atom_site_fract_x
_atom_site_fract_y
_atom_site_fract_z
_atom_site_occupancy
Ca1 Ca 0.0267 0.8400 0.3231 1
Ca2 Ca 0.0547 0.2096 0.9090 1
Mg1 Mg 0.0366 0.5977 0.2020 1
Tl1 Tl 0.0000 0.0000 0.5000 1

=====

# 5
# Br2Cl3 PBE optimized geometry
# Formation energy without anion corrections: 0.12 eV per atom
# VASP energy: -1.6548 eV/atom
data_Br2Cl3
_symmetry_space_group_name_H-M 'F d d 2'
_symmetry_Int_Tables_number 43
_symmetry_space_group_name_Hall 'F 2 -2d'
_cell_length_a 17.2071
_cell_length_b 17.4580
_cell_length_c 5.0305
_cell_angle_alpha 90.00
_cell_angle_beta 90.00
_cell_angle_gamma 90.00
loop_
_atom_site_label
_atom_site_type_symbol
_atom_site_fract_x
_atom_site_fract_y
_atom_site_fract_z
_atom_site_occupancy
Br1 Br 0.0048 0.1397 0.0000 1
Cl1 Cl 0.0000 0.0000 0.9998 1
Cl2 Cl 0.0118 0.3434 0.9999 1

=====

# 6
# Ce3Ga5Te12 PBE optimized geometry
# Formation energy without anion corrections: -0.65 eV per atom
# VASP energy: -4.1854 eV/atom
data_Ce3Ga5Te12
_symmetry_space_group_name_H-M 'I a -3 d'
_symmetry_Int_Tables_number 230
_symmetry_space_group_name_Hall '-I 4bd 2c 3'
_cell_length_a 17.3374
_cell_length_b 17.3374
_cell_length_c 17.3374
_cell_angle_alpha 90.00
_cell_angle_beta 90.00
_cell_angle_gamma 90.00
loop_
_atom_site_label
_atom_site_type_symbol
_atom_site_fract_x
_atom_site_fract_y
_atom_site_fract_z
_atom_site_occupancy
Ce1 Ce 0.0000 0.2500 0.1250 1
Ga1 Ga 0.0000 0.0000 0.0000 1
Ga2 Ga 0.0000 0.2500 0.3750 1
Te1 Te 0.0254 0.0630 0.6514 1

=====

# 7
# HoEr2ScP4 PBE optimized geometry
# Energy of formation from the pure elements: -1210 kJ/mol of formula units
# VASP energy: -6.7765 eV/atom
data_HoEr2ScP4
_symmetry_space_group_name_H-M 'P 1 2/m 1'
_symmetry_Int_Tables_number 10
_symmetry_space_group_name_Hall '-P 2y'
_cell_length_a 6.7926
_cell_length_b 3.9261
_cell_length_c 6.7937
_cell_angle_alpha 90.00
_cell_angle_beta 109.48
_cell_angle_gamma 90.00
loop_
_atom_site_label
_atom_site_type_symbol
_atom_site_fract_x
_atom_site_fract_y
_atom_site_fract_z
_atom_site_occupancy
Ho1 Ho 0.0000 0.0000 0.0000 1
Er1 Er 0.0000 0.5000 0.5000 1
Er2 Er 0.5000 0.0000 0.5000 1
Sc1 Sc 0.5000 0.5000 0.0000 1
P1 P 0.2549 0.5000 0.2467 1
P2 P 0.2586 0.0000 0.7578 1

=====

# 8
# Pm2Er2In3 PBE optimized geometry
# Energy of formation from the pure elements: -206 kJ/mol of formula units
# VASP energy: -4.1390 eV/atom
data_Pm2Er2In3
_symmetry_space_group_name_H-M 'C m m m'
_symmetry_Int_Tables_number 65
_symmetry_space_group_name_Hall '-C 2 2'
_cell_length_a 4.5860
_cell_length_b 24.8469
_cell_length_c 3.4718
_cell_angle_alpha 90.00
_cell_angle_beta 90.00
_cell_angle_gamma 90.00
loop_
_atom_site_label
_atom_site_type_symbol
_atom_site_fract_x
_atom_site_fract_y
_atom_site_fract_z
_atom_site_occupancy
Pm1 Pm 0.0000 0.0713 0.0000 1
Er1 Er 0.0000 0.2028 0.0000 1
In1 In 0.0000 0.3521 0.5000 1
In2 In 0.0000 0.5000 0.5000 1

=====

# 9
# TcPd3Pt PBE optimized geometry
# Energy of formation from the pure elements: 661 kJ/mol of formula units
# VASP energy: -5.0263 eV/atom
data_TcPd3Pt
_symmetry_space_group_name_H-M 'P m -3 m'
_symmetry_Int_Tables_number 221
_symmetry_space_group_name_Hall '-P 4 2 3'
_cell_length_a 4.6927
_cell_length_b 4.6927
_cell_length_c 4.6927
_cell_angle_alpha 90.00
_cell_angle_beta 90.00
_cell_angle_gamma 90.00
loop_
_atom_site_label
_atom_site_type_symbol
_atom_site_fract_x
_atom_site_fract_y
_atom_site_fract_z
_atom_site_occupancy
Tc1 Tc 0.0000 0.0000 0.0000 1
Pd1 Pd 0.0000 0.0000 0.5000 1
Pt1 Pt 0.5000 0.5000 0.5000 1

=====

# 10
# AlZnSi2 PBE optimized geometry
# Formation energy without anion corrections: 0.23 eV per atom
# VASP energy: -3.7310 eV/atom
data_AlZnSi2
_symmetry_space_group_name_H-M 'P m m m'
_symmetry_Int_Tables_number 47
_symmetry_space_group_name_Hall '-P 2 2'
_cell_length_a 2.6123
_cell_length_b 4.6464
_cell_length_c 5.1131
_cell_angle_alpha 90.00
_cell_angle_beta 90.00
_cell_angle_gamma 90.00
loop_
_atom_site_label
_atom_site_type_symbol
_atom_site_fract_x
_atom_site_fract_y
_atom_site_fract_z
_atom_site_occupancy
Al1 Al 0.0000 0.0000 0.0000 1
Zn1 Zn 0.5000 0.0000 0.5000 1
Si1 Si 0.5000 0.5000 0.2459 1